BaLaW2, relaxed, DFT PBE-GGA; ΔE_f = 1.34 eV/atom; crystal system = cubic; electronic total energy = -6.848 eV per atom; space-group type = No. 216
1.0
5.111 0.000 0.000
2.556 4.427 0.000
2.556 1.476 4.173
Ba La W
1 1 2
Direct
0.500 0.500 0.500
0.750 0.750 0.750
0.000 0.000 0.000
0.250 0.250 0.250

BaLaW2, relaxed, DFT PBE-GGA; ΔE_f = 0.90 eV/atom; crystal system = trigonal; electronic total energy = -7.289 eV per atom; space-group type = No. 160
1.0
10.740 -0.093 -0.055
10.203 3.352 -0.055
10.203 1.588 2.953
W La Ba
2 1 1
Direct
0.270 0.270 0.270
0.985 0.985 0.985
0.732 0.732 0.732
0.514 0.514 0.514

Ba2LaW2, relaxed, DFT PBE-GGA; ΔE_f = 1.27 eV/atom; crystal system = tetragonal; electronic total energy = -5.667 eV per atom; space-group type = No. 127
1.0
9.800 0.000 0.000
0.000 9.800 0.000
0.000 0.000 3.228
W La Ba
4 2 4
Direct
0.417 0.083 0.500
0.083 0.583 0.500
0.917 0.417 0.500
0.583 0.917 0.500
0.500 0.500 0.000
0.000 0.000 0.000
0.205 0.295 0.000
0.295 0.795 0.000
0.795 0.705 0.000
0.705 0.205 0.000